AcCeO | PBE | relaxed

Cell and atoms, written as POSCAR:
```
AcCeO
1.0
-0.260 0.534 3.760
2.303 -2.696 -1.385
4.760 4.204 -0.268
O Ac Ce
1 1 1
Direct
0.333 0.667 0.622 O
0.000 0.000 0.915 Ac
0.667 0.333 0.463 Ce
```

Output
* size of the total moment: 1.09 Bohr magnetons per cell
* space-group type: P3m1, No. 156
* formation energy (no corrections): -454 kJ/mol of formula units
* energy above the lowest structure with this stoichiometry: 0 meV per atom

---

Sc2HCl | PBE | relaxed

Cell and atoms, written as POSCAR:
```
Sc2HCl
1.0
3.414 0.000 -0.001
0.000 4.667 0.001
0.002 0.001 8.513
Cl Sc H
2 4 2
Direct
0.701 0.501 0.498 Cl
0.201 0.001 0.718 Cl
0.701 0.551 0.179 Sc
0.701 0.591 0.820 Sc
0.201 0.052 0.037 Sc
0.201 0.090 0.396 Sc
0.201 0.790 0.231 H
0.701 0.290 0.985 H
```

Output
* size of the total moment: 0.00 Bohr magnetons per cell
* space-group type: Pmn2_1, No. 31
* energy above the lowest structure with this stoichiometry: 0 meV per atom

---

Rb2HoCuF6 | PBE | relaxed

Cell and atoms, written as POSCAR:
```
Rb2HoCuF6
1.0
-1.050 -4.830 -3.865
-1.727 -4.238 4.289
-5.924 -3.168 -0.264
Rb F Ho Cu
2 6 1 1
Direct
0.250 0.750 0.500 Rb
0.750 0.250 0.500 Rb
0.774 0.774 0.453 F
0.267 0.735 0.000 F
0.773 0.772 0.001 F
0.226 0.226 0.547 F
0.733 0.265 0.000 F
0.227 0.228 0.999 F
0.000 0.000 0.000 Ho
0.500 0.500 0.000 Cu
```

Output
* size of the total moment: 0.06 Bohr magnetons per cell
* space-group type: P-1, No. 2
* formation energy (no corrections): -2834 kJ/mol of formula units

---

SrScSb2 | PBE | relaxed

Cell and atoms, written as POSCAR:
```
SrScSb2
1.0
6.397 -0.002 0.000
3.262 5.503 0.000
-4.830 -2.751 3.168
Sc Sb Sr
1 2 1
Direct
0.500 0.500 0.000 Sc
0.250 0.750 0.500 Sb
0.000 0.000 0.000 Sb
0.750 0.250 0.500 Sr
```

Output
* size of the total moment: 0.00 Bohr magnetons per cell
* space-group type: I-4m2, No. 119
* formation energy (no corrections): -246 kJ/mol of formula units
* energy above the lowest structure with this stoichiometry: 216 meV per atom

---

ReTeW2 | PBE | relaxed

Cell and atoms, written as POSCAR:
```
ReTeW2
1.0
9.221 0.022 0.013
8.735 2.954 0.013
8.735 1.448 2.575
Re Te W
1 1 2
Direct
0.250 0.250 0.250 Re
0.750 0.750 0.750 Te
0.996 0.996 0.996 W
0.504 0.504 0.504 W
```

Output
* size of the total moment: 0.00 Bohr magnetons per cell
* space-group type: R-3m, No. 166
* formation energy (no corrections): 240 kJ/mol of formula units

---

Dy3Ga4Cu4 | PBE | relaxed

Cell and atoms, written as POSCAR:
```
Dy3Ga4Cu4
1.0
-3.416 -1.242 0.785
1.287 -1.142 3.796
-4.300 10.674 6.993
Dy Cu Ga
3 4 4
Direct
0.148 0.647 0.706 Dy
0.852 0.353 0.294 Dy
0.000 0.000 0.000 Dy
0.549 0.547 0.906 Cu
0.690 0.190 0.621 Cu
0.310 0.810 0.379 Cu
0.451 0.454 0.094 Cu
0.254 0.254 0.492 Ga
0.403 0.903 0.192 Ga
0.746 0.747 0.508 Ga
0.597 0.097 0.808 Ga
```

Output
* size of the total moment: 0.00 Bohr magnetons per cell
* space-group type: P-1, No. 2
* energy above the lowest structure with this stoichiometry: 3 meV per atom

---

BaCd2Mo | PBE | relaxed

Cell and atoms, written as POSCAR:
```
BaCd2Mo
1.0
-5.031 -4.071 0.263
-0.042 -4.715 4.441
-0.056 6.260 -1.660
Mo Cd Ba
1 2 1
Direct
0.523 0.523 0.000 Mo
0.734 0.234 0.500 Cd
0.979 0.979 0.000 Cd
0.265 0.765 0.500 Ba
```

Output
* size of the total moment: 1.34 Bohr magnetons per cell
* space-group type: Imm2, No. 44
* energy above the lowest structure with this stoichiometry: 213 meV per atom

---

Ni3S4 | PBE | relaxed

Cell and atoms, written as POSCAR:
```
Ni3S4
1.0
-0.132 4.592 -4.856
-0.725 -1.891 -6.370
-5.707 1.278 -3.237
S Ni
8 6
Direct
0.884 0.884 0.884 S
0.349 0.884 0.884 S
0.884 0.884 0.349 S
0.366 0.366 0.366 S
0.366 0.901 0.366 S
0.884 0.349 0.884 S
0.901 0.366 0.366 S
0.366 0.366 0.901 S
0.750 0.750 0.750 Ni
0.125 0.625 0.125 Ni
0.625 0.125 0.125 Ni
0.500 0.500 0.500 Ni
0.125 0.125 0.625 Ni
0.125 0.125 0.125 Ni
```

Output
* size of the total moment: 0.00 Bohr magnetons per cell
* space-group type: Fd-3m, No. 227
* formation energy (no corrections): -250 kJ/mol of formula units

---

Er2CdSnAu4 | PBE | relaxed

Cell and atoms, written as POSCAR:
```
Er2CdSnAu4
1.0
4.920 0.000 0.000
2.460 4.260 0.000
2.460 1.420 8.063
Cd Sn Au Er
1 1 4 2
Direct
0.500 0.500 0.500 Cd
0.000 0.000 0.000 Sn
0.378 0.378 0.867 Au
0.128 0.128 0.616 Au
0.622 0.622 0.133 Au
0.872 0.872 0.384 Au
0.749 0.749 0.753 Er
0.251 0.251 0.247 Er
```

Output
* size of the total moment: 0.00 Bohr magnetons per cell
* total energy: -32.6 eV per cell
* space-group type: R-3m, No. 166

---

La2SbH3 | PBE | relaxed

Cell and atoms, written as POSCAR:
```
La2SbH3
1.0
3.942 0.000 1.085
1.093 7.170 3.734
-0.145 -0.319 8.229
H La Sb
6 4 2
Direct
0.362 0.540 0.736 H
0.027 0.625 0.322 H
0.638 0.460 0.264 H
0.595 0.261 0.549 H
0.405 0.739 0.451 H
0.973 0.375 0.678 H
0.464 0.227 0.844 La
0.158 0.286 0.398 La
0.842 0.714 0.602 La
0.536 0.773 0.156 La
0.145 0.919 0.791 Sb
0.855 0.081 0.209 Sb
```

Output
* size of the total moment: 0.00 Bohr magnetons per cell
* space-group type: C2/m, No. 12
* energy above the lowest structure with this stoichiometry: 74 meV per atom

---

Pr3Nd7Y2 | PBE | relaxed

Cell and atoms, written as POSCAR:
```
Pr3Nd7Y2
1.0
3.609 0.000 0.000
0.000 6.512 0.779
0.000 2.480 18.312
Nd Y Pr
7 2 3
Direct
0.500 0.759 0.497 Nd
0.500 0.946 0.831 Nd
0.500 0.054 0.169 Nd
0.500 0.241 0.503 Nd
0.000 0.439 0.832 Nd
0.000 0.000 0.000 Nd
0.000 0.561 0.168 Nd
0.500 0.615 0.330 Y
0.500 0.385 0.670 Y
0.000 0.886 0.661 Pr
0.000 0.114 0.339 Pr
0.500 0.500 0.000 Pr
```

Output
* size of the total moment: 0.00 Bohr magnetons per cell
* space-group type: P2/m, No. 10
* energy above the lowest structure with this stoichiometry: 0 meV per atom

---

RbNbOs2Au | PBE | relaxed

Cell and atoms, written as POSCAR:
```
RbNbOs2Au
1.0
5.062 0.000 0.000
0.000 4.973 0.000
0.000 0.000 5.062
Os Nb Rb Au
2 1 1 1
Direct
0.000 0.000 0.500 Os
0.500 0.000 0.000 Os
0.000 0.500 0.000 Nb
0.500 0.500 0.500 Rb
0.000 0.000 0.000 Au
```

Output
* size of the total moment: 0.00 Bohr magnetons per cell
* total energy: -24.8 eV per cell
* space-group type: P4/mmm, No. 123